The following is a PBE calculation of a geometry-optimized Tc2AgCl structure, from Alexandria.

Geometry as POSCAR:
```
Tc2AgCl
1.0
1.446 0.835 9.091
-1.446 0.835 9.091
0.000 -1.669 9.091
Tc Ag Cl
2 1 1
direct
0.000 0.000 0.000 Tc
0.260 0.260 0.260 Tc
0.756 0.756 0.756 Ag
0.522 0.522 0.522 Cl
```

Values from the calculation:
Volume (Å³ per cell): 65.83
Offset from the most stable computed form (kJ per mole of atoms): 5.5
Uncorrected formation energy (eV/atom): 0.188